First-principles (PBEsol) data for KOsPt2O after structural relaxation, as listed in Alexandria via LeMat-Bulk.

Lattice parameters (Å, degrees): 4.6857 4.6857 3.7535 90.00 90.00 90.00
With the nearest neighbours (Å) after each atom.
Space group P4/mmm (No. 123)
Unique sites:
K: 0.0000 0.0000 0.0000 (multiplicity 1)  8 Pt 3.00, 4 Os 3.31
Os: 0.5000 0.5000 0.0000 (multiplicity 1)  2 O 1.88
Pt: 0.0000 0.5000 0.5000 (multiplicity 2)  2 O 2.34
O: 0.5000 0.5000 0.5000 (multiplicity 1)  2 Os 1.88

First-principles (PBEsol) data for KPO3 after structural relaxation, as listed in Alexandria via LeMat-Bulk.

Lattice parameters (Å, degrees): 7.3779 11.9888 11.9148 90.00 115.02 90.00
With the nearest neighbours (Å) after each atom.
Space group P2_1/c (No. 14)
Unique sites:
K: 0.0733 0.1415 0.4194 (multiplicity 4)  5 O 2.67-2.88
K: 0.2307 0.0823 0.8806 (multiplicity 4)  6 O 2.59-2.85
K: 0.3030 0.7438 0.8994 (multiplicity 4)  6 O 2.72-2.86
P: 0.2510 0.1726 0.1775 (multiplicity 4)  4 O 1.49-1.63
P: 0.2832 0.5712 0.6547 (multiplicity 4)  4 O 1.49-1.64
P: 0.3892 0.5553 0.1645 (multiplicity 4)  4 O 1.49-1.63
O: 0.1045 0.2384 0.2067 (multiplicity 4)  1 P 1.49
O: 0.1509 0.6606 0.6654 (multiplicity 4)  1 P 1.49
O: 0.1629 0.0461 0.1426 (multiplicity 4)  2 P 1.63-1.64
O: 0.2670 0.5494 0.0278 (multiplicity 4)  1 P 1.49
O: 0.2850 0.5734 0.2470 (multiplicity 4)  1 P 1.50
O: 0.3177 0.2125 0.0820 (multiplicity 4)  1 P 1.50
O: 0.3610 0.5782 0.5576 (multiplicity 4)  1 P 1.50
O: 0.4418 0.1516 0.3102 (multiplicity 4)  2 P 1.63
O: 0.4686 0.5551 0.7914 (multiplicity 4)  2 P 1.63-1.64

First-principles (PBEsol) data for K3PO4 after structural relaxation, as listed in Alexandria via LeMat-Bulk.

Lattice parameters (Å, degrees): 11.1690 8.0405 5.9272 90.00 90.00 90.00
With the nearest neighbours (Å) after each atom.
Space group Pnma (No. 62)
Unique sites:
K: 0.0689 0.2500 0.1353 (multiplicity 4)  4 O 2.54-2.78
K: 0.1445 0.0084 0.6945 (multiplicity 8)  6 O 2.71-2.96
P: 0.1152 0.7500 0.2825 (multiplicity 4)  4 O 1.56
O: 0.0068 0.7500 0.4497 (multiplicity 4)  1 P 1.56
O: 0.1100 0.5910 0.1329 (multiplicity 8)  1 P 1.56
O: 0.2331 0.7500 0.4234 (multiplicity 4)  1 P 1.56

First-principles (PBEsol) data for KP3O after structural relaxation, as listed in Alexandria via LeMat-Bulk.

Lattice parameters (Å, degrees): 4.3482 4.3482 4.3482 90.00 90.00 90.00
With the nearest neighbours (Å) after each atom.
Space group Pm-3m (No. 221)
Unique sites:
K: 0.0000 0.0000 0.0000 (multiplicity 1)  12 P 3.07
P: 0.0000 0.5000 0.5000 (multiplicity 3)  2 O 2.17
O: 0.5000 0.5000 0.5000 (multiplicity 1)  6 P 2.17

First-principles (PBEsol) data for K15P16Pd9O56 after structural relaxation, as listed in Alexandria via LeMat-Bulk.

Lattice parameters (Å, degrees): 18.8309 13.9595 12.2206 90.00 119.09 90.00
With the nearest neighbours (Å) after each atom.
Space group C2/m (No. 12)
Unique sites:
K: 0.0000 0.0000 0.0000 (multiplicity 2)  6 O 2.84
K: 0.0000 0.2588 0.0000 (multiplicity 4)  8 O 2.74-2.83
K: 0.1207 0.2344 0.5988 (multiplicity 8)  6 O 2.68-2.95
K: 0.1463 0.2745 0.9168 (multiplicity 8)  6 O 2.61-2.91
K: 0.1609 0.0000 0.9073 (multiplicity 4)  5 O 2.76-3.03
K: 0.2473 0.5000 0.5006 (multiplicity 4)  6 O 2.77-2.94
P: 0.0250 0.3970 0.3051 (multiplicity 8)  4 O 1.53-1.62
P: 0.0289 0.1083 0.3010 (multiplicity 8)  4 O 1.49-1.63
P: 0.2116 0.1056 0.1940 (multiplicity 8)  4 O 1.50-1.63
P: 0.2122 0.3914 0.1888 (multiplicity 8)  4 O 1.51-1.63
Pd: 0.0000 0.0000 0.5000 (multiplicity 2)  4 O 1.99
Pd: 0.0644 0.5000 0.9542 (multiplicity 4)  4 O 2.04-2.05
Pd: 0.1295 0.5000 0.7511 (multiplicity 4)  4 O 2.03-2.06
Pd: 0.1640 0.2486 0.3431 (multiplicity 8)  4 O 1.99-2.02
O: 0.0005 0.3906 0.8342 (multiplicity 8)  1 P 1.53
O: 0.0158 0.1677 0.8144 (multiplicity 8)  1 P 1.49
O: 0.0174 0.1033 0.6231 (multiplicity 8)  1 P 1.55
O: 0.0272 0.0000 0.2495 (multiplicity 4)  2 P 1.63
O: 0.0467 0.3906 0.6680 (multiplicity 8)  1 P 1.54
O: 0.0689 0.5000 0.3563 (multiplicity 4)  2 P 1.62
O: 0.0909 0.3252 0.3870 (multiplicity 8)  1 P 1.53
O: 0.1199 0.1317 0.3875 (multiplicity 8)  1 P 1.55
O: 0.1254 0.3923 0.0776 (multiplicity 8)  1 P 1.54
O: 0.1319 0.1298 0.0807 (multiplicity 8)  1 P 1.50
O: 0.2047 0.0000 0.2456 (multiplicity 4)  2 P 1.63
O: 0.2146 0.3662 0.3141 (multiplicity 8)  1 P 1.55
O: 0.2188 0.4011 0.8391 (multiplicity 8)  1 P 1.55
O: 0.2288 0.1637 0.8379 (multiplicity 8)  1 P 1.51
O: 0.2397 0.1676 0.3125 (multiplicity 8)  1 P 1.54
O: 0.2478 0.5000 0.2142 (multiplicity 4)  2 P 1.63

First-principles (PBEsol) data for KRbTi4P6O24 after structural relaxation, as listed in Alexandria via LeMat-Bulk.

Lattice parameters (Å, degrees): 8.3892 8.3892 23.3522 90.00 90.00 120.00
With the nearest neighbours (Å) after each atom.
Space group R-3 (No. 148, hexagonal axes)
Unique sites:
K: 0.0000 0.0000 0.0000 (multiplicity 3)  6 O 2.76
Rb: 0.0000 0.0000 0.5000 (multiplicity 3)  6 O 2.84
Ti: 0.0000 0.0000 0.1490 (multiplicity 6)  6 O 1.93-1.95
Ti: 0.0000 0.0000 0.3495 (multiplicity 6)  6 O 1.94-1.95
P: 0.0009 0.2810 0.7495 (multiplicity 18)  4 O 1.54
O: 0.0171 0.8252 0.9020 (multiplicity 18)  1 P 1.54
O: 0.0441 0.2055 0.3986 (multiplicity 18)  1 P 1.54
O: 0.0491 0.8419 0.1969 (multiplicity 18)  1 P 1.54
O: 0.0667 0.2115 0.6989 (multiplicity 18)  1 P 1.54

Sequential spin magnetization output: 0.000, 0.007, 0.023, 0.000, 2.428, 0.000 μB/cell
Sequential formation energy (no corrections) output: 0.82, -2.28, -2.22, 0.49, -1.93, -2.59 eV/atom
Sequential E_tot output: -5.689, -6.814, -5.991, -4.265, -6.694, -8.039 eV/atom